No. 1
Entry from the Alexandria database: a relaxed PaCoReSi2 crystal (GGA-PBE). Values from VASP.

SG   No. 119
V   16.15 Å³/atom
Magnetic moment   0.0 μB per formula unit
Raw formation energy   -2.91 eV/f.u.

```
&SYSTEM
  ibrav = 0, nat = 5, ntyp = 4
/
ATOMIC_SPECIES
Pa 231.04 Pa.upf
Co 58.93 Co.upf
Re 186.21 Re.upf
Si 28.09 Si.upf
ATOMIC_POSITIONS crystal
Pa 0.0000 0.0000 0.0000
Co 0.7500 0.2500 0.5000
Re 0.2500 0.7500 0.5000
Si 0.6262 0.6262 0.2524
Si 0.3738 0.3738 0.7476
CELL_PARAMETERS angstrom
4.0915 0.0000 0.0000
0.0000 4.0915 0.0000
-2.0457 -2.0457 4.8223
```

***

No. 2
Entry from the Alexandria database: a relaxed Pa2Co3ReSi4 crystal (GGA-PBE). Values from VASP.

SG   No. 115
V   15.29 Å³/atom
Magnetic moment   0.0 μB per formula unit
Raw formation energy   -6.85 eV/f.u.

```
&SYSTEM
  ibrav = 0, nat = 10, ntyp = 4
/
ATOMIC_SPECIES
Pa 231.04 Pa.upf
Co 58.93 Co.upf
Re 186.21 Re.upf
Si 28.09 Si.upf
ATOMIC_POSITIONS crystal
Pa 0.5000 0.0000 0.2494
Pa 0.0000 0.5000 0.7506
Co 0.0000 0.0000 0.5000
Co 0.5000 0.0000 0.8781
Co 0.0000 0.5000 0.1219
Re 0.5000 0.5000 0.5000
Si 0.5000 0.5000 0.0000
Si 0.0000 0.0000 0.0000
Si 0.5000 0.0000 0.6374
Si 0.0000 0.5000 0.3626
CELL_PARAMETERS angstrom
4.0327 0.0000 0.0000
0.0000 4.0327 0.0000
0.0000 0.0000 9.4029
```

***

No. 3
Entry from the Alexandria database: a relaxed ZrPaCoRe crystal (GGA-PBE). Values from VASP.

SG   No. 216
V   18.43 Å³/atom
Magnetic moment   0.1 μB per formula unit
ΔH_f (0 K)   -125.5 meV per atom

```
&SYSTEM
  ibrav = 0, nat = 4, ntyp = 4
/
ATOMIC_SPECIES
Re 186.21 Re.upf
Pa 231.04 Pa.upf
Co 58.93 Co.upf
Zr 91.22 Zr.upf
ATOMIC_POSITIONS crystal
Re 0.2500 0.2500 0.2500
Pa 0.0000 0.0000 0.0000
Co 0.7500 0.7500 0.7500
Zr 0.5000 0.5000 0.5000
CELL_PARAMETERS angstrom
-1.3826 4.3449 -1.1684
-3.9276 1.8016 1.8663
0.2759 3.4849 3.1519
```

***

No. 4
Entry from the Alexandria database: a relaxed PaCoRh crystal (GGA-PBE). Values from VASP.

SG   No. 107
Excess energy over the best structure of this formula in the dataset   0.672 eV/f.u.
V   17.02 Å³/atom
Magnetic moment   0.0 μB per formula unit
ΔH_f (0 K)   -373.4 meV per atom

```
&SYSTEM
  ibrav = 0, nat = 3, ntyp = 3
/
ATOMIC_SPECIES
Rh 102.91 Rh.upf
Pa 231.04 Pa.upf
Co 58.93 Co.upf
ATOMIC_POSITIONS crystal
Rh 0.3323 0.3323 0.6647
Pa 0.6555 0.6555 0.3109
Co 0.0122 0.0122 0.0244
CELL_PARAMETERS angstrom
-3.4312 -0.1254 0.3254
0.0187 -3.2798 -1.0665
2.1397 0.3843 4.4322
```

***

Question: Which of these has the lowest V?
Answer: Pa2Co3ReSi4

***

Repeat the third record exactly.
Entry from the Alexandria database: a relaxed ZrPaCoRe crystal (GGA-PBE). Values from VASP.

SG   No. 216
V   18.43 Å³/atom
Magnetic moment   0.1 μB per formula unit
ΔH_f (0 K)   -125.5 meV per atom

```
&SYSTEM
  ibrav = 0, nat = 4, ntyp = 4
/
ATOMIC_SPECIES
Re 186.21 Re.upf
Pa 231.04 Pa.upf
Co 58.93 Co.upf
Zr 91.22 Zr.upf
ATOMIC_POSITIONS crystal
Re 0.2500 0.2500 0.2500
Pa 0.0000 0.0000 0.0000
Co 0.7500 0.7500 0.7500
Zr 0.5000 0.5000 0.5000
CELL_PARAMETERS angstrom
-1.3826 4.3449 -1.1684
-3.9276 1.8016 1.8663
0.2759 3.4849 3.1519
```

***

Please write out number 2 again, unchanged.
Entry from the Alexandria database: a relaxed Pa2Co3ReSi4 crystal (GGA-PBE). Values from VASP.

SG   No. 115
V   15.29 Å³/atom
Magnetic moment   0.0 μB per formula unit
Raw formation energy   -6.85 eV/f.u.

```
&SYSTEM
  ibrav = 0, nat = 10, ntyp = 4
/
ATOMIC_SPECIES
Pa 231.04 Pa.upf
Co 58.93 Co.upf
Re 186.21 Re.upf
Si 28.09 Si.upf
ATOMIC_POSITIONS crystal
Pa 0.5000 0.0000 0.2494
Pa 0.0000 0.5000 0.7506
Co 0.0000 0.0000 0.5000
Co 0.5000 0.0000 0.8781
Co 0.0000 0.5000 0.1219
Re 0.5000 0.5000 0.5000
Si 0.5000 0.5000 0.0000
Si 0.0000 0.0000 0.0000
Si 0.5000 0.0000 0.6374
Si 0.0000 0.5000 0.3626
CELL_PARAMETERS angstrom
4.0327 0.0000 0.0000
0.0000 4.0327 0.0000
0.0000 0.0000 9.4029
```